An optimized crystal structure of Al2WO6, computed with GGA+U.

Unit cell a=4.3357 b=4.8144 c=4.8144 alpha=120.00 beta=90.00 gamma=90.00
With the nearest neighbours (Å) after each atom.
Element x y z (fractional)
Al (0.5000, 0.6667, 0.3333)  6 O 1.91
Al (0.5000, 0.3333, 0.6667)  6 O 1.91
W (0.0000, 0.0000, 0.0000)  6 O 1.96
O (0.7392, 0.6671, 0.6671)  2 Al 1.91, 1 W 1.96
O (0.2608, 0.6671, 0.0000)  2 Al 1.91, 1 W 1.96
O (0.2608, 0.0000, 0.6671)  2 Al 1.91, 1 W 1.96
O (0.7392, 0.3329, 0.0000)  2 Al 1.91, 1 W 1.96
O (0.2608, 0.3329, 0.3329)  2 Al 1.91, 1 W 1.96
O (0.7392, 0.0000, 0.3329)  2 Al 1.91, 1 W 1.96

Computed properties:
As for the symmetry: P-31m (162). The total energy is -67.171 eV per cell. The value obtained for the relative energy among the computed polymorphs is 22.6 meV per atom.